1.
Density functional theory data (PBE) for a geometry-optimized BeGe2F structure.

## Properties
As for the density of states at the Fermi level: 1.7 states/eV/f.u. The theoretical density is 5.3 g/cm3. As for the formation energy from raw total energies: -175.5 meV/atom.

a = 4.247 Å, b = 4.247 Å, c = 4.247 Å
α = 60.00°, β = 60.00°, γ = 60.00°
Fractional coordinates of all 4 atoms:
Be: 0.000 0.000 0.000
Ge: 0.250 0.250 0.250
Ge: 0.750 0.750 0.750
F: 0.500 0.500 0.500

=====

2.
Density functional theory data (PBE) for a geometry-optimized BeGe2F structure.

## Properties
As for the density of states at the Fermi level: 1.7 states/eV/f.u. The theoretical density is 4.0 g/cm3. As for the formation energy from raw total energies: -115.1 meV/atom.

a = 6.705 Å, b = 6.705 Å, c = 6.705 Å
α = 136.14°, β = 136.14°, γ = 63.76°
Fractional coordinates of all 8 atoms:
Be: 0.000 0.000 0.000
Be: 0.750 0.250 0.500
Ge: 0.098 0.625 0.973
Ge: 0.375 0.348 0.473
Ge: 0.652 0.125 0.027
Ge: 0.875 0.902 0.527
F: 0.250 0.750 0.500
F: 0.500 0.500 0.000

=====

3.
Density functional theory data (PBE) for a geometry-optimized BeGeF4 structure.

## Properties
As for the density of states at the Fermi level: 0.0 states/eV/f.u. The theoretical density is 3.1 g/cm3. As for the formation energy from raw total energies: -2633.7 meV/atom.

a = 4.743 Å, b = 4.743 Å, c = 7.632 Å
α = 92.45°, β = 92.45°, γ = 87.62°
Fractional coordinates of all 12 atoms:
Be: 0.157 0.843 0.750
Be: 0.843 0.157 0.250
Ge: 0.419 0.581 0.250
Ge: 0.581 0.419 0.750
F: 0.159 0.210 0.249
F: 0.210 0.159 0.749
F: 0.314 0.666 0.594
F: 0.334 0.686 0.906
F: 0.666 0.314 0.094
F: 0.686 0.334 0.406
F: 0.790 0.841 0.251
F: 0.841 0.790 0.751

=====

4.
Density functional theory data (PBE) for a geometry-optimized BeGeF6 structure.

## Properties
As for the density of states at the Fermi level: 0.0 states/eV/f.u. The theoretical density is 3.9 g/cm3. As for the formation energy from raw total energies: -2594.4 meV/atom.

a = 4.992 Å, b = 4.992 Å, c = 4.992 Å
α = 57.76°, β = 57.76°, γ = 57.76°
Fractional coordinates of all 8 atoms:
Be: 0.000 0.000 0.000
Ge: 0.500 0.500 0.500
F: 0.146 0.345 0.754
F: 0.246 0.854 0.655
F: 0.345 0.754 0.146
F: 0.655 0.246 0.854
F: 0.754 0.146 0.345
F: 0.854 0.655 0.246